Entry from Alexandria via LeMat-Bulk: a relaxed structure of LiMg2Re (GGA-PBE).

Summary:
Energy ... -3.799 eV/atom
Formation energy from the elements ... 0.59 eV/atom

a = 4.569 Å, b = 4.569 Å, c = 4.569 Å
α = 60.00°, β = 60.00°, γ = 60.00°
Fractional positions:
1 Li 0.000 0.000 0.000
2 Mg 0.250 0.250 0.250
3 Mg 0.500 0.500 0.500
4 Re 0.750 0.750 0.750

Entry from Alexandria via LeMat-Bulk: a relaxed structure of PrEr3Cd (GGA-PBE).

Summary:
Energy ... -3.979 eV/atom
Formation energy from the elements ... -0.10 eV/atom

a = 6.769 Å, b = 6.769 Å, c = 12.542 Å
α = 93.36°, β = 93.36°, γ = 31.55°
Fractional positions:
1 Pr 0.236 0.236 0.252
2 Pr 0.764 0.764 0.748
3 Er 0.035 0.035 0.688
4 Er 0.145 0.145 0.951
5 Er 0.366 0.366 0.522
6 Er 0.634 0.634 0.478
7 Er 0.855 0.855 0.049
8 Er 0.965 0.965 0.312
9 Cd 0.450 0.450 0.873
10 Cd 0.550 0.550 0.127

Entry from Alexandria via LeMat-Bulk: a relaxed structure of CsGaSb3 (GGA-PBE).

Summary:
E_form (uncorrected) ... 0.1907 eV/atom
Energy ... -3.059 eV/atom

a = 5.570 Å, b = 5.570 Å, c = 5.570 Å
α = 90.00°, β = 90.00°, γ = 90.00°
Fractional positions:
1 Cs 0.000 0.000 0.000
2 Ga 0.500 0.500 0.500
3 Sb 0.000 0.500 0.500
4 Sb 0.500 0.000 0.500
5 Sb 0.500 0.500 0.000

Entry from Alexandria via LeMat-Bulk: a relaxed structure of PuTiNi4 (GGA-PBE).

Summary:
Energy ... -7.821 eV/atom
Formation energy from the elements ... -0.26 eV/atom

a = 4.900 Å, b = 4.900 Å, c = 4.900 Å
α = 60.00°, β = 60.00°, γ = 60.00°
Fractional positions:
1 Pu 0.000 0.000 0.000
2 Ti 0.750 0.750 0.750
3 Ni 0.375 0.375 0.375
4 Ni 0.375 0.375 0.874
5 Ni 0.375 0.874 0.375
6 Ni 0.874 0.375 0.375

Entry from Alexandria via LeMat-Bulk: a relaxed structure of MnMoSe2 (GGA-PBE).

Summary:
E_form (uncorrected) ... 0.2009 eV/atom
Energy ... -6.542 eV/atom

a = 4.361 Å, b = 4.361 Å, c = 4.361 Å
α = 60.00°, β = 60.00°, γ = 60.00°
Fractional positions:
1 Mn 0.000 0.000 0.000
2 Mo 0.500 0.500 0.500
3 Se 0.250 0.250 0.250
4 Se 0.750 0.750 0.750

Entry from Alexandria via LeMat-Bulk: a relaxed structure of Pr5ThSn6 (GGA-PBE).

Summary:
Energy ... -5.168 eV/atom
Formation energy from the elements ... -0.56 eV/atom

a = 7.935 Å, b = 7.935 Å, c = 7.784 Å
α = 99.74°, β = 99.74°, γ = 119.64°
Fractional positions:
1 Pr 0.000 0.000 0.000
2 Pr 0.167 0.833 0.500
3 Pr 0.332 0.668 0.000
4 Pr 0.668 0.332 0.000
5 Pr 0.833 0.167 0.500
6 Th 0.500 0.500 0.500
7 Sn 0.086 0.417 0.252
8 Sn 0.252 0.252 0.749
9 Sn 0.417 0.086 0.252
10 Sn 0.583 0.914 0.748
11 Sn 0.748 0.748 0.251
12 Sn 0.914 0.583 0.748